Record 1
Rb2BeO: relaxed, PBE.

The space group is Fm-3m (No. 225) and the conventional cell measures 7.477, 7.477 and 7.477 Å, with angles of 90.00, 90.00 and 90.00 degrees. The inequivalent atoms are Rb at (0.250, 0.250, 0.250), Be at (0.000, 0.000, 0.000) and O at (0.000, 0.000, 0.500).

The crystal system is cubic. Its raw formation energy is 1.232 eV per formula unit. Its polymorph energy (0 for the lowest one) is 88.9 kJ per mole of atoms. The density of states at the Fermi level comes out at 0.0 states/eV/cell.

Record 2
Pu2Co3Rh: relaxed, PBE.

The space group is R-3m (No. 166, hexagonal axes) and the conventional cell measures 5.0305, 5.0305 and 12.9395 Å, with angles of 90.00, 90.00 and 120.00 degrees. The inequivalent atoms are Pu at (0.0000, 0.0000, 0.1231), Co at (0.0000, 0.5000, 0.0000) and Rh at (0.0000, 0.0000, 0.5000).

The crystal system is trigonal. For the energy relative to the elements, the calculation gives -0.2476 eV/atom. The density of states at the Fermi level comes out at 46.4 states/eV/cell.

Record 3
Mo2RuPt: relaxed, PBE.

The space group is Cm (No. 8) and the conventional cell measures 9.202, 2.776 and 4.851 Å, with angles of 90.00, 100.10 and 90.00 degrees. The inequivalent atoms are Mo at (0.000, 0.000, 0.000), Mo at (0.244, 0.000, 0.714), Ru at (0.244, 0.500, 0.208) and Pt at (0.494, 0.000, 0.490).

The crystal system is monoclinic. For the energy relative to the elements, the calculation gives -0.0736 eV/atom. Its polymorph energy (0 for the lowest one) is 11.9 kJ per mole of atoms. The density of states at the Fermi level comes out at 7.9 states/eV/cell.